Entry 1:
A relaxed LiTaP crystal. Source: Alexandria via LeMat-Bulk, functional PBE.

Its crystal system is cubic. For the energy relative to the elements, the calculation gives -175 meV per atom. The magnetic moment is 0.345 μB/f.u.

The structure belongs to space group F-43m (No. 216); the cell edges are 5.7538, 5.7538 and 5.7538 Å and the angles 90.00°, 90.00° and 90.00°. The inequivalent atoms are Li at (0.0000, 0.0000, 0.0000), Ta at (0.0000, 0.0000, 0.5000) and P at (0.2500, 0.2500, 0.7500).



Entry 2:
A relaxed Ac3In2Pd6 crystal. Source: Alexandria via LeMat-Bulk, functional PBE.

Its crystal system is cubic. For the energy relative to the elements, the calculation gives -735 meV per atom. The magnetic moment is 0.000 μB/f.u.

The structure belongs to space group Im-3m (No. 229); the cell edges are 10.0776, 10.0776 and 10.0776 Å and the angles 90.00°, 90.00° and 90.00°. The inequivalent atoms are Ac at (0.0000, 0.0000, 0.2944), In at (0.2500, 0.2500, 0.2500) and Pd at (0.0000, 0.3386, 0.3386).



Entry 3:
A relaxed Cs3Pr2PaS6 crystal. Source: Alexandria via LeMat-Bulk, functional PBE.

Its crystal system is monoclinic. The formation energy from raw total energies comes out at -20.10 eV/f.u. The magnetic moment is 1.527 μB/f.u.

The structure belongs to space group C2/m (No. 12); the cell edges are 7.2941, 12.6314 and 8.4700 Å and the angles 90.00°, 106.67° and 90.00°. The inequivalent atoms are Cs at (0.0000, 0.0000, 0.0000), Cs at (0.0000, 0.3300, 0.0000), Pr at (0.0000, 0.1664, 0.5000), Pa at (0.0000, 0.5000, 0.5000), S at (0.2211, 0.3410, 0.6863) and S at (0.2448, 0.0000, 0.6875).



Entry 4:
A relaxed LiPm2SiPt6 crystal. Source: Alexandria via LeMat-Bulk, functional PBE.

Its crystal system is monoclinic. The formation energy from raw total energies comes out at -8.46 eV/f.u. The magnetic moment is 0.000 μB/f.u.

The structure belongs to space group C2/m (No. 12); the cell edges are 9.7695, 5.6542 and 7.8585 Å and the angles 90.00°, 114.34° and 90.00°. The inequivalent atoms are Li at (0.0000, 0.0000, 0.0000), Pm at (0.2052, 0.5000, 0.1164), Si at (0.0000, 0.5000, 0.5000), Pt at (0.0098, 0.2399, 0.2718) and Pt at (0.2494, 0.5000, 0.7275).



Entry 5:
A relaxed PmZrPd6 crystal. Source: Alexandria via LeMat-Bulk, functional PBE.

Its crystal system is tetragonal. For the energy relative to the elements, the calculation gives -821 meV per atom. The magnetic moment is 0.000 μB/f.u.

The structure belongs to space group P4/mmm (No. 123); the cell edges are 4.1057, 4.1057 and 8.2183 Å and the angles 90.00°, 90.00° and 90.00°. The inequivalent atoms are Pm at (0.0000, 0.0000, 0.0000), Zr at (0.0000, 0.0000, 0.5000), Pd at (0.0000, 0.5000, 0.2627), Pd at (0.5000, 0.5000, 0.0000) and Pd at (0.5000, 0.5000, 0.5000).



Entry 6:
A relaxed LaErCuTc crystal. Source: Alexandria via LeMat-Bulk, functional PBE.

Its crystal system is cubic. For the energy relative to the elements, the calculation gives -21 meV per atom. The magnetic moment is 0.000 μB/f.u.

The structure belongs to space group F-43m (No. 216); the cell edges are 7.0169, 7.0169 and 7.0169 Å and the angles 90.00°, 90.00° and 90.00°. The inequivalent atoms are La at (0.0000, 0.0000, 0.0000), Er at (0.0000, 0.0000, 0.5000), Cu at (0.2500, 0.2500, 0.2500) and Tc at (0.2500, 0.2500, 0.7500).



Entry 7:
A relaxed HgIr3O crystal. Source: Alexandria via LeMat-Bulk, functional PBE.

Its crystal system is cubic. The formation energy from raw total energies comes out at 15.23 eV/f.u. The magnetic moment is 5.929 μB/f.u.

The structure belongs to space group Pm-3m (No. 221); the cell edges are 5.0239, 5.0239 and 5.0239 Å and the angles 90.00°, 90.00° and 90.00°. The inequivalent atoms are Hg at (0.0000, 0.0000, 0.0000), Ir at (0.0000, 0.0000, 0.5000) and O at (0.5000, 0.5000, 0.5000).



Entry 8:
A relaxed CeTlSe2 crystal. Source: Alexandria via LeMat-Bulk, functional PBE.

Its crystal system is trigonal. The formation energy from raw total energies comes out at -5.18 eV/f.u. The magnetic moment is 1.005 μB/f.u.

The structure belongs to space group R3m (No. 160, hexagonal axes); the cell edges are 4.3353, 4.3353 and 23.5113 Å and the angles 90.00°, 90.00° and 120.00°. The inequivalent atoms are Ce at (0.0000, 0.0000, 0.0000), Tl at (0.0000, 0.0000, 0.8289), Se at (0.0000, 0.0000, 0.4033) and Se at (0.0000, 0.0000, 0.5988).



no.,calculated volume (Å³ per atom)
1,15.874
2,23.261
3,31.149
4,19.776
5,17.317
6,21.593
7,25.360
8,31.890